MgV8O8F8 | Alexandria via LeMat-Bulk | PBE with a Hubbard U | relaxed; polymorph energy (0 for the lowest one) = 0 meV/atom; total magnetization = 18.00 Bohr magnetons per cell; crystal system = triclinic
1.0
-0.709 4.791 -0.873
-4.853 -1.116 -2.648
-6.063 0.731 8.755
Mg V F O
1 8 8 8
Direct
0.508 0.129 0.143 Mg
0.014 0.478 0.524 V
0.022 0.757 0.758 V
0.508 0.988 0.491 V
0.525 0.267 0.733 V
0.471 0.691 0.290 V
0.990 0.247 0.247 V
0.486 0.547 0.998 V
0.982 0.033 0.975 V
0.671 0.830 0.068 F
0.173 0.953 0.163 F
0.176 0.204 0.429 F
0.817 0.517 0.343 F
0.696 0.550 0.824 F
0.331 0.236 0.932 F
0.312 0.976 0.676 F
0.817 0.771 0.586 F
0.285 0.693 0.444 O
0.201 0.753 0.929 O
0.809 0.299 0.059 O
0.653 0.006 0.306 O
0.193 0.474 0.693 O
0.344 0.454 0.172 O
0.690 0.277 0.574 O
0.811 0.038 0.816 O